Record 1
Here is an optimized crystal structure of YHgGe from Alexandria via LeMat-Bulk. Energies are from PBE-GGA.

Unit cell a=3.633 b=3.633 c=5.923 alpha=107.86 beta=107.86 gamma=90.00
Sites, in units of the cell vectors:
Y 0.619 0.619 0.238
Ge 0.291 0.291 0.581
Hg 0.940 0.940 0.881

Results
N(E_F)	2.3	states/eV/f.u.
M_tot	0.00	Bohr magnetons per cell
symmetry	No. 107

---

Record 2
Here is an optimized crystal structure of Y6Hg5Ge from Alexandria via LeMat-Bulk. Energies are from PBE-GGA.

Unit cell a=5.228 b=9.088 c=9.088 alpha=120.27 beta=106.72 gamma=106.72
Sites, in units of the cell vectors:
Y 0.243 0.081 0.405
Y 0.757 0.595 0.919
Y 0.739 0.239 0.239
Y 0.261 0.761 0.761
Y 0.243 0.405 0.081
Y 0.757 0.919 0.595
Ge 0.000 0.000 0.000
Hg 0.500 0.179 0.821
Hg 0.000 0.334 0.666
Hg 0.500 0.500 0.500
Hg 0.000 0.666 0.334
Hg 0.500 0.821 0.179

Results
N(E_F)	11.4	states/eV/f.u.
M_tot	0.01	Bohr magnetons per cell
symmetry	No. 71

---

no.,energy (eV/cell),energy of formation from the pure elements (eV per atom)
1,-12.26,-0.29
2,-51.51,-0.55